[1]
A plane-wave DFT calculation with PBE-GGA was carried out for a relaxed CrIr2Se crystal.

a = 3.785 Å, b = 3.978 Å, c = 3.978 Å
α = 90.00°, β = 90.00°, γ = 90.00°
Positions (direct):
Cr (0.500, 0.000, 0.500)
Ir (0.000, 0.000, 0.000)
Ir (0.000, 0.500, 0.500)
Se (0.500, 0.500, 0.000)

Computed properties:
- SG = P4/mmm, No. 123
- uncorrected formation energy (eV per atom) = 0.320



[2]
A plane-wave DFT calculation with PBE-GGA was carried out for a relaxed Ca2MgAg2Pd5 crystal.

a = 4.012 Å, b = 9.803 Å, c = 9.803 Å
α = 90.00°, β = 90.00°, γ = 90.00°
Positions (direct):
Ca (0.000, 0.671, 0.171)
Ca (0.000, 0.329, 0.829)
Ca (0.000, 0.171, 0.329)
Ca (0.000, 0.829, 0.671)
Mg (0.000, 0.000, 0.000)
Mg (0.000, 0.500, 0.500)
Ag (0.000, 0.129, 0.629)
Ag (0.000, 0.871, 0.371)
Ag (0.000, 0.629, 0.871)
Ag (0.000, 0.371, 0.129)
Pd (0.500, 0.195, 0.058)
Pd (0.500, 0.805, 0.942)
Pd (0.500, 0.058, 0.805)
Pd (0.500, 0.695, 0.442)
Pd (0.500, 0.942, 0.195)
Pd (0.500, 0.305, 0.558)
Pd (0.500, 0.558, 0.695)
Pd (0.500, 0.442, 0.305)
Pd (0.500, 0.500, 0.000)
Pd (0.500, 0.000, 0.500)

Computed properties:
- SG = P4/mbm, No. 127
- E_form (eV/f.u.) = -4.5



[3]
A plane-wave DFT calculation with PBE-GGA was carried out for a relaxed Sm3TmSn5 crystal.

a = 6.406 Å, b = 9.472 Å, c = 9.472 Å
α = 120.00°, β = 90.00°, γ = 90.00°
Positions (direct):
Sm (0.750, 0.383, 0.000)
Sm (0.750, 0.617, 0.617)
Sm (0.750, 0.000, 0.383)
Sm (0.250, 0.617, 0.000)
Sm (0.250, 0.383, 0.383)
Sm (0.250, 0.000, 0.617)
Tm (0.000, 0.000, 0.000)
Tm (0.500, 0.000, 0.000)
Sn (0.000, 0.333, 0.667)
Sn (0.500, 0.667, 0.333)
Sn (0.000, 0.667, 0.333)
Sn (0.500, 0.333, 0.667)
Sn (0.750, 0.718, 0.000)
Sn (0.750, 0.282, 0.282)
Sn (0.750, 0.000, 0.718)
Sn (0.250, 0.282, 0.000)
Sn (0.250, 0.718, 0.718)
Sn (0.250, 0.000, 0.282)

Computed properties:
- SG = P6_3/mcm, No. 193
- E_form (eV/f.u.) = -5.6



[4]
A plane-wave DFT calculation with PBE-GGA was carried out for a relaxed SbRuAu2 crystal.

a = 9.467 Å, b = 9.467 Å, c = 9.467 Å
α = 18.78°, β = 18.78°, γ = 18.78°
Positions (direct):
Au (0.994, 0.994, 0.994)
Au (0.506, 0.506, 0.506)
Ru (0.250, 0.250, 0.250)
Sb (0.750, 0.750, 0.750)

Computed properties:
- SG = R-3m, No. 166
- uncorrected formation energy (eV per atom) = 0.491



[5]
A plane-wave DFT calculation with PBE-GGA was carried out for a relaxed Pm3PrPt crystal.

a = 5.269 Å, b = 6.672 Å, c = 8.856 Å
α = 83.53°, β = 90.00°, γ = 90.00°
Positions (direct):
Pm (0.376, 0.410, 0.196)
Pm (0.376, 0.893, 0.011)
Pm (0.876, 0.508, 0.467)
Pm (0.876, 0.943, 0.706)
Pm (0.876, 0.460, 0.890)
Pm (0.376, 0.844, 0.434)
Pr (0.376, 0.283, 0.659)
Pr (0.876, 0.070, 0.242)
Pt (0.376, 0.697, 0.747)
Pt (0.876, 0.655, 0.154)

Computed properties:
- SG = P2_1/m, No. 11
- E_form (eV/f.u.) = -2.1
- energy above the lowest structure with this stoichiometry (kJ/mol of atoms) = 0.0



[6]
A plane-wave DFT calculation with PBE-GGA was carried out for a relaxed CsPdN2F crystal.

a = 4.883 Å, b = 4.883 Å, c = 5.145 Å
α = 90.00°, β = 90.00°, γ = 90.00°
Positions (direct):
Cs (0.000, 0.000, 0.000)
N (0.000, 0.500, 0.000)
N (0.500, 0.000, 0.000)
Pd (0.500, 0.500, 0.500)
F (0.000, 0.000, 0.500)

Computed properties:
- SG = P4/mmm, No. 123
- uncorrected formation energy (eV per atom) = 2.019
- energy above the lowest structure with this stoichiometry (kJ/mol of atoms) = 165.4



[7]
A plane-wave DFT calculation with PBE-GGA was carried out for a relaxed CaTb6Nd2 crystal.

a = 7.271 Å, b = 12.672 Å, c = 11.594 Å
α = 133.62°, β = 51.17°, γ = 115.57°
Positions (direct):
Ca (0.377, 0.145, 0.979)
Ca (0.623, 0.855, 0.021)
Tb (0.216, 0.812, 0.640)
Tb (0.043, 0.484, 0.318)
Tb (0.784, 0.188, 0.360)
Tb (0.957, 0.516, 0.682)
Tb (0.758, 0.997, 0.488)
Tb (0.581, 0.665, 0.169)
Tb (0.242, 0.003, 0.512)
Tb (0.419, 0.335, 0.831)
Tb (0.114, 0.850, 0.020)
Tb (0.280, 0.185, 0.356)
Tb (0.886, 0.150, 0.980)
Tb (0.720, 0.815, 0.644)
Nd (0.456, 0.517, 0.682)
Nd (0.925, 0.334, 0.829)
Nd (0.544, 0.483, 0.318)
Nd (0.075, 0.666, 0.171)

Computed properties:
- SG = P-1, No. 2
- E_form (eV/f.u.) = 0.3



[8]
A plane-wave DFT calculation with PBE-GGA was carried out for a relaxed ZnCl2 crystal.

a = 3.724 Å, b = 3.724 Å, c = 12.071 Å
α = 90.00°, β = 90.00°, γ = 90.00°
Positions (direct):
Cl (0.000, 0.500, 0.113)
Cl (0.000, 0.500, 0.613)
Cl (0.500, 0.000, 0.387)
Cl (0.500, 0.000, 0.887)
Zn (0.000, 0.000, 0.000)
Zn (0.500, 0.500, 0.500)

Computed properties:
- SG = P4_2/nmc, No. 137
- uncorrected formation energy (eV per atom) = -1.139



[9]
A plane-wave DFT calculation with PBE-GGA was carried out for a relaxed MgScTcSn crystal.

a = 4.560 Å, b = 3.613 Å, c = 10.225 Å
α = 90.00°, β = 116.28°, γ = 90.00°
Positions (direct):
Mg (0.924, 0.000, 0.061)
Mg (0.924, 0.500, 0.561)
Sc (0.186, 0.000, 0.824)
Sc (0.186, 0.500, 0.324)
Tc (0.683, 0.000, 0.322)
Tc (0.683, 0.500, 0.822)
Sn (0.452, 0.000, 0.589)
Sn (0.452, 0.500, 0.089)

Computed properties:
- SG = Cm, No. 8
- E_form (eV/f.u.) = -0.7
- energy above the lowest structure with this stoichiometry (kJ/mol of atoms) = 0.0



[10]
A plane-wave DFT calculation with PBE-GGA was carried out for a relaxed Pr2CuP crystal.

a = 4.126 Å, b = 4.126 Å, c = 9.130 Å
α = 76.94°, β = 76.94°, γ = 60.00°
Positions (direct):
Pr (0.108, 0.108, 0.676)
Pr (0.892, 0.892, 0.324)
P (0.500, 0.500, 0.500)
Cu (0.000, 0.000, 0.000)

Computed properties:
- SG = R-3m, No. 166
- E_form (eV/f.u.) = -1.1



[11]
A plane-wave DFT calculation with PBE-GGA was carried out for a relaxed Ac4PmIn3 crystal.

a = 5.835 Å, b = 8.335 Å, c = 11.676 Å
α = 90.00°, β = 90.00°, γ = 90.00°
Positions (direct):
Ac (0.500, 0.758, 0.000)
Ac (0.500, 0.758, 0.500)
Ac (0.500, 0.242, 0.000)
Ac (0.500, 0.242, 0.500)
Ac (0.998, 0.758, 0.750)
Ac (0.002, 0.758, 0.250)
Ac (0.002, 0.242, 0.250)
Ac (0.998, 0.242, 0.750)
In (0.000, 0.000, 0.000)
In (0.000, 0.000, 0.500)
In (0.498, 0.000, 0.750)
In (0.502, 0.000, 0.250)
In (0.498, 0.500, 0.750)
In (0.502, 0.500, 0.250)
Pm (0.000, 0.500, 0.000)
Pm (0.000, 0.500, 0.500)

Computed properties:
- SG = Pmma, No. 51
- E_form (eV/f.u.) = -2.1



[12]
A plane-wave DFT calculation with PBE-GGA was carried out for a relaxed YTmNiOs crystal.

a = 4.777 Å, b = 4.777 Å, c = 4.777 Å
α = 60.00°, β = 60.00°, γ = 60.00°
Positions (direct):
Y (0.750, 0.750, 0.750)
Ni (0.000, 0.000, 0.000)
Tm (0.250, 0.250, 0.250)
Os (0.500, 0.500, 0.500)

Computed properties:
- SG = F-43m, No. 216
- E_form (eV/f.u.) = -1.3



[13]
A plane-wave DFT calculation with PBE-GGA was carried out for a relaxed BeBiH2 crystal.

a = 5.190 Å, b = 5.190 Å, c = 5.180 Å
α = 59.93°, β = 59.93°, γ = 90.00°
Positions (direct):
Be (0.500, 0.500, 0.000)
Be (0.250, 0.750, 0.500)
Bi (0.000, 0.000, 0.000)
Bi (0.750, 0.250, 0.500)
H (0.375, 0.125, 0.250)
H (0.375, 0.625, 0.250)
H (0.375, 0.625, 0.750)
H (0.875, 0.625, 0.750)

Computed properties:
- SG = I4_1/amd, No. 141
- energy above the lowest structure with this stoichiometry (kJ/mol of atoms) = 0.0



[14]
A plane-wave DFT calculation with PBE-GGA was carried out for a relaxed LaNd5Er3 crystal.

a = 9.655 Å, b = 9.655 Å, c = 11.803 Å
α = 52.87°, β = 52.87°, γ = 74.88°
Positions (direct):
La (0.168, 0.168, 0.581)
La (0.832, 0.832, 0.419)
Nd (0.853, 0.351, 0.259)
Nd (0.255, 0.745, 0.000)
Nd (0.825, 0.825, 0.947)
Nd (0.498, 0.498, 0.233)
Nd (0.502, 0.502, 0.767)
Nd (0.175, 0.175, 0.053)
Nd (0.351, 0.853, 0.259)
Nd (0.745, 0.255, 0.000)
Nd (0.147, 0.649, 0.741)
Nd (0.649, 0.147, 0.741)
Er (0.682, 0.682, 0.824)
Er (0.661, 0.661, 0.351)
Er (0.000, 0.000, 0.000)
Er (0.000, 0.000, 0.500)
Er (0.318, 0.318, 0.176)
Er (0.339, 0.339, 0.649)

Computed properties:
- SG = C2/m, No. 12
- E_form (eV/f.u.) = 4.1
- energy above the lowest structure with this stoichiometry (kJ/mol of atoms) = 16.5



[15]
A plane-wave DFT calculation with PBE-GGA was carried out for a relaxed SmZn2Ni4Ge crystal.

a = 4.081 Å, b = 4.081 Å, c = 8.625 Å
α = 76.31°, β = 76.31°, γ = 60.00°
Positions (direct):
Sm (0.000, 0.000, 0.000)
Zn (0.757, 0.757, 0.730)
Zn (0.243, 0.243, 0.270)
Ni (0.406, 0.406, 0.781)
Ni (0.866, 0.866, 0.402)
Ni (0.134, 0.134, 0.598)
Ni (0.594, 0.594, 0.219)
Ge (0.500, 0.500, 0.500)

Computed properties:
- SG = R-3m, No. 166
- E_form (eV/f.u.) = -2.3



[16]
A plane-wave DFT calculation with PBE-GGA was carried out for a relaxed Y2MnInH crystal.

a = 4.836 Å, b = 4.836 Å, c = 4.182 Å
α = 90.00°, β = 90.00°, γ = 90.00°
Positions (direct):
Y (0.000, 0.500, 0.000)
Y (0.500, 0.000, 0.000)
H (0.000, 0.000, 0.000)
Mn (0.000, 0.000, 0.500)
In (0.500, 0.500, 0.500)

Computed properties:
- SG = P4/mmm, No. 123



[17]
A plane-wave DFT calculation with PBE-GGA was carried out for a relaxed Ho3ZrAg3Se8 crystal.

a = 8.171 Å, b = 8.171 Å, c = 8.149 Å
α = 120.28°, β = 90.00°, γ = 120.00°
Positions (direct):
Ho (0.500, 0.000, 0.500)
Ho (0.500, 0.500, 0.500)
Ho (0.000, 0.500, 0.500)
Zr (0.000, 0.000, 0.500)
Ag (0.000, 0.000, 0.000)
Ag (0.000, 0.500, 0.000)
Ag (0.500, 0.500, 0.000)
Se (0.251, 0.502, 0.255)
Se (0.749, 0.498, 0.745)
Se (0.761, 0.522, 0.266)
Se (0.239, 0.478, 0.734)
Se (0.761, 0.003, 0.266)
Se (0.239, 0.997, 0.734)
Se (0.242, 0.003, 0.266)
Se (0.758, 0.997, 0.734)

Computed properties:
- SG = C2/m, No. 12
- uncorrected formation energy (eV per atom) = -1.182



[18]
A plane-wave DFT calculation with PBE-GGA was carried out for a relaxed PmAl3AgPt crystal.

a = 5.965 Å, b = 5.955 Å, c = 7.327 Å
α = 113.98°, β = 90.00°, γ = 90.00°
Positions (direct):
Pm (0.750, 0.297, 0.594)
Pm (0.250, 0.703, 0.406)
Al (0.250, 0.130, 0.260)
Al (0.000, 0.280, 0.000)
Al (0.500, 0.720, 0.000)
Al (0.500, 0.280, 0.000)
Al (0.000, 0.720, 0.000)
Al (0.750, 0.870, 0.740)
Ag (0.250, 0.339, 0.677)
Ag (0.750, 0.661, 0.323)
Pt (0.250, 0.913, 0.825)
Pt (0.750, 0.087, 0.175)

Computed properties:
- SG = Cmcm, No. 63
- E_form (eV/f.u.) = -2.9



[19]
A plane-wave DFT calculation with PBE-GGA was carried out for a relaxed K2CdRh crystal.

a = 11.604 Å, b = 11.604 Å, c = 11.604 Å
α = 16.33°, β = 16.33°, γ = 16.33°
Positions (direct):
Cd (0.750, 0.750, 0.750)
K (0.989, 0.989, 0.989)
K (0.511, 0.511, 0.511)
Rh (0.250, 0.250, 0.250)

Computed properties:
- SG = R-3m, No. 166
- E_form (eV/f.u.) = 2.2



[20]
A plane-wave DFT calculation with PBE-GGA was carried out for a relaxed AcNd2Ho2Tm2 crystal.

a = 5.127 Å, b = 6.299 Å, c = 8.101 Å
α = 97.77°, β = 90.00°, γ = 114.02°
Positions (direct):
Ac (0.000, 0.000, 0.000)
Nd (0.715, 0.431, 0.153)
Nd (0.285, 0.569, 0.847)
Ho (0.574, 0.149, 0.705)
Ho (0.426, 0.851, 0.295)
Tm (0.142, 0.284, 0.434)
Tm (0.858, 0.716, 0.566)

Computed properties:
- SG = C2/m, No. 12
- E_form (eV/f.u.) = 0.3



no.,E (eV per atom)
1,-7.387
2,-4.178
3,-4.920
4,-4.497
5,-5.428
6,-2.895
7,-4.331
8,-2.795
9,-5.756
10,-5.031
11,-3.934
12,-7.303
13,-3.243
14,-4.267
15,-4.660
16,-5.871
17,-5.096
18,-4.631
19,-2.065
20,-4.488